Entry from the Open Quantum Materials Database: crystalline LuZr2Ni4Ge4 at its relaxed geometry (GGA-PBE).

Properties
The raw total energy is -6.410 eV/atom. Its symmetry is No. 71. As for the calculated volume: 15.7 Å³/atom.

```
LuZr2Ni4Ge4
1.0
-1.978 3.321 6.554
1.978 -3.321 6.554
1.978 3.321 -6.554
Ge Lu Ni Zr
4 1 4 2
direct
0.306 0.000 0.306
0.783 0.283 0.500
0.217 0.717 0.500
0.694 0.000 0.694
0.000 0.500 0.500
0.022 0.823 0.198
0.375 0.177 0.198
0.978 0.177 0.802
0.625 0.823 0.802
0.373 0.373 0.000
0.627 0.627 0.000
```

=====

Entry from the Open Quantum Materials Database: crystalline Lu6Ge4O17 at its relaxed geometry (GGA-PBE).

Properties
The raw total energy is -7.657 eV/atom. Its symmetry is No. 13. As for the calculated volume: 13.3 Å³/atom.

```
Lu6Ge4O17
1.0
10.854 0.000 0.000
0.000 6.824 0.000
-3.848 0.000 9.680
Ge Lu O
8 12 34
direct
0.382 0.361 0.102
0.776 0.924 0.230
0.224 0.924 0.270
0.618 0.361 0.398
0.382 0.639 0.602
0.776 0.076 0.730
0.224 0.076 0.770
0.618 0.639 0.898
0.953 0.746 0.028
0.427 0.836 0.073
0.831 0.404 0.196
0.169 0.404 0.304
0.573 0.836 0.427
0.047 0.746 0.472
0.953 0.254 0.528
0.427 0.164 0.573
0.831 0.596 0.696
0.169 0.596 0.804
0.573 0.164 0.927
0.047 0.254 0.972
0.646 0.448 0.017
0.446 0.153 0.052
0.100 0.980 0.109
0.758 0.113 0.110
0.984 0.420 0.112
0.238 0.325 0.136
0.848 0.721 0.176
0.627 0.854 0.248
0.500 0.476 0.250
0.373 0.854 0.252
0.152 0.721 0.324
0.762 0.325 0.364
0.016 0.420 0.388
0.242 0.113 0.390
0.900 0.980 0.391
0.554 0.153 0.448
0.354 0.448 0.483
0.646 0.552 0.517
0.446 0.847 0.552
0.100 0.020 0.609
0.758 0.887 0.610
0.984 0.580 0.612
0.238 0.675 0.636
0.848 0.279 0.676
0.627 0.146 0.748
0.500 0.524 0.750
0.373 0.146 0.752
0.152 0.279 0.824
0.762 0.675 0.864
0.016 0.580 0.888
0.242 0.887 0.890
0.900 0.020 0.891
0.554 0.847 0.948
0.354 0.552 0.983
```

=====

Entry from the Open Quantum Materials Database: crystalline Lu2Ge2O7 at its relaxed geometry (GGA-PBE).

Properties
The raw total energy is -7.407 eV/atom. Its symmetry is No. 1. As for the calculated volume: 12.1 Å³/atom.

```
Lu2Ge2O7
1.0
-3.826 -5.292 -0.807
6.418 -1.278 1.663
-1.009 0.547 6.575
Ge Lu O
4 4 14
direct
0.778 0.867 0.308
0.320 0.361 0.629
0.781 0.499 0.887
0.219 0.825 0.966
0.293 0.347 0.128
0.818 0.354 0.388
0.309 0.859 0.451
0.763 0.999 0.837
0.087 0.539 0.035
0.642 0.380 0.107
0.530 0.727 0.157
0.291 0.001 0.159
0.918 0.119 0.165
0.931 0.720 0.411
0.403 0.236 0.449
0.188 0.493 0.454
0.696 0.987 0.498
0.790 0.321 0.717
0.547 0.569 0.760
0.397 0.906 0.770
0.150 0.205 0.820
0.943 0.793 0.857
```

=====

Entry from the Open Quantum Materials Database: crystalline Lu2Ge2O7 at its relaxed geometry (GGA-PBE).

Properties
The raw total energy is -7.419 eV/atom. Its symmetry is No. 2. As for the calculated volume: 12.1 Å³/atom.

```
Lu2Ge2O7
1.0
11.932 -0.085 -0.439
-0.518 6.687 -0.132
-0.277 -0.260 6.691
Ge Lu O
8 8 28
direct
0.382 0.617 0.146
0.890 0.146 0.174
0.618 0.746 0.413
0.845 0.663 0.488
0.155 0.337 0.512
0.382 0.254 0.587
0.110 0.854 0.826
0.618 0.383 0.854
0.115 0.334 0.036
0.365 0.083 0.091
0.125 0.831 0.308
0.630 0.233 0.368
0.370 0.767 0.632
0.875 0.169 0.692
0.635 0.917 0.909
0.885 0.666 0.964
0.917 0.338 0.004
0.187 0.028 0.006
0.578 0.220 0.041
0.303 0.391 0.068
0.622 0.924 0.233
0.029 0.098 0.241
0.311 0.790 0.292
0.929 0.724 0.295
0.499 0.561 0.304
0.113 0.492 0.327
0.708 0.542 0.377
0.818 0.211 0.377
0.453 0.161 0.383
0.234 0.138 0.422
0.766 0.862 0.578
0.547 0.839 0.617
0.182 0.789 0.623
0.292 0.458 0.623
0.887 0.508 0.673
0.501 0.439 0.696
0.071 0.276 0.705
0.689 0.210 0.708
0.971 0.902 0.759
0.378 0.076 0.767
0.697 0.609 0.932
0.422 0.780 0.959
0.813 0.972 0.994
0.083 0.662 0.996
```

=====

Repeat the third record exactly.
Entry from the Open Quantum Materials Database: crystalline Lu2Ge2O7 at its relaxed geometry (GGA-PBE).

Properties
The raw total energy is -7.407 eV/atom. Its symmetry is No. 1. As for the calculated volume: 12.1 Å³/atom.

```
Lu2Ge2O7
1.0
-3.826 -5.292 -0.807
6.418 -1.278 1.663
-1.009 0.547 6.575
Ge Lu O
4 4 14
direct
0.778 0.867 0.308
0.320 0.361 0.629
0.781 0.499 0.887
0.219 0.825 0.966
0.293 0.347 0.128
0.818 0.354 0.388
0.309 0.859 0.451
0.763 0.999 0.837
0.087 0.539 0.035
0.642 0.380 0.107
0.530 0.727 0.157
0.291 0.001 0.159
0.918 0.119 0.165
0.931 0.720 0.411
0.403 0.236 0.449
0.188 0.493 0.454
0.696 0.987 0.498
0.790 0.321 0.717
0.547 0.569 0.760
0.397 0.906 0.770
0.150 0.205 0.820
0.943 0.793 0.857
```

=====

- Among the records above, which one has the lowest raw total energy?
  Lu6Ge4O17

=====

Please write out number 4 again, unchanged.
Entry from the Open Quantum Materials Database: crystalline Lu2Ge2O7 at its relaxed geometry (GGA-PBE).

Properties
The raw total energy is -7.419 eV/atom. Its symmetry is No. 2. As for the calculated volume: 12.1 Å³/atom.

```
Lu2Ge2O7
1.0
11.932 -0.085 -0.439
-0.518 6.687 -0.132
-0.277 -0.260 6.691
Ge Lu O
8 8 28
direct
0.382 0.617 0.146
0.890 0.146 0.174
0.618 0.746 0.413
0.845 0.663 0.488
0.155 0.337 0.512
0.382 0.254 0.587
0.110 0.854 0.826
0.618 0.383 0.854
0.115 0.334 0.036
0.365 0.083 0.091
0.125 0.831 0.308
0.630 0.233 0.368
0.370 0.767 0.632
0.875 0.169 0.692
0.635 0.917 0.909
0.885 0.666 0.964
0.917 0.338 0.004
0.187 0.028 0.006
0.578 0.220 0.041
0.303 0.391 0.068
0.622 0.924 0.233
0.029 0.098 0.241
0.311 0.790 0.292
0.929 0.724 0.295
0.499 0.561 0.304
0.113 0.492 0.327
0.708 0.542 0.377
0.818 0.211 0.377
0.453 0.161 0.383
0.234 0.138 0.422
0.766 0.862 0.578
0.547 0.839 0.617
0.182 0.789 0.623
0.292 0.458 0.623
0.887 0.508 0.673
0.501 0.439 0.696
0.071 0.276 0.705
0.689 0.210 0.708
0.971 0.902 0.759
0.378 0.076 0.767
0.697 0.609 0.932
0.422 0.780 0.959
0.813 0.972 0.994
0.083 0.662 0.996
```